DFT (PBE) results for a relaxed Na2LiNp3S6 crystal.

Its crystal system is monoclinic. The value obtained for the uncorrected formation energy is -1574 kJ/mol of formula units. The calculation puts the total magnetization at 24.00 μB/cell. The value obtained for the final energy is -7.04 eV/atom. The calculation puts the density of states at the Fermi level at 55.69 states/eV per cell.

The space group is C2/m (No. 12) and the conventional cell measures 6.9151, 11.9731 and 6.8764 Å, with angles of 90.00, 109.64 and 90.00 degrees. The asymmetric unit holds Na at (0.0000, 0.1663, 0.0000), Li at (0.0000, 0.5000, 0.0000), Np at (0.0000, 0.0000, 0.5000), Np at (0.0000, 0.3323, 0.5000), S at (0.2392, 0.5000, 0.7327) and S at (0.2477, 0.1640, 0.7344).